The following is a PBE calculation of crystalline Nd2Mg5Ni4 at its relaxed geometry, from the Alexandria database.

Output
* DFT total energy: -84.0 eV/cell
* calculated formation energy: -1.350 eV per formula unit
* volume: 440 Å³ per cell

a = 12.432 Å, b = 5.740 Å, c = 7.860 Å
α = 90.00°, β = 128.27°, γ = 90.00°
Space group C2/m (No. 12)
Asymmetric unit:
Nd: 0.219 0.000 0.164
Mg: 0.000 0.500 0.000
Mg: 0.039 0.239 0.359
Ni: 0.180 0.000 0.765
Ni: 0.224 0.500 0.412